Record 1
DFT (GGA-PBE) results for a geometry-optimized TcIrPt3 structure.

Results
- Space group: Pm-3m, No. 221
- M_tot: 1.068 μB/atom
- Volume: 22.6 Å³ per atom
- E_form: 1694 meV/atom
- Relative energy among the computed polymorphs: 0 meV/atom
- Crystal system: cubic

abc: 4.8315 4.8315 4.8315
angles: 90.00 90.00 90.00
Last column: magnetic moment on the atom in μB.
Element x y z (fractional)
1 Pt 0.0000 0.5000 0.0000  0.13
2 Pt 0.5000 0.0000 0.0000  0.17
3 Pt 0.0000 0.0000 0.5000  0.30
4 Tc 0.5000 0.5000 0.5000  3.71
5 Ir 0.0000 0.0000 0.0000  0.52

=====

Record 2
DFT (GGA-PBE) results for a geometry-optimized Tc2IrPt structure.

Results
- Space group: P4mm, No. 99
- M_tot: 0.000 μB/atom
- Volume: 15.1 Å³ per atom
- E_form: 176 meV/atom
- Relative energy among the computed polymorphs: 385 meV/atom
- Crystal system: tetragonal

abc: 3.3028 3.3028 5.5312
angles: 90.00 90.00 90.00
Element x y z (fractional)
1 Tc 0.5000 0.5000 0.2531
2 Tc 0.0000 0.0000 0.0026
3 Pt 0.5000 0.5000 0.7476
4 Ir 0.0000 0.0000 0.4967

=====

Record 3
DFT (GGA-PBE) results for a geometry-optimized TcIr2Pt2 structure.

Results
- Space group: Immm, No. 71
- M_tot: 0.000 μB/atom
- Volume: 14.9 Å³ per atom
- E_form: -101 meV/atom
- Relative energy among the computed polymorphs: 0 meV/atom
- Crystal system: orthorhombic

abc: 2.7525 3.8940 7.3677
angles: 105.32 100.76 90.00
Element x y z (fractional)
1 Tc 0.5000 0.5000 0.0000
2 Ir 0.0945 0.0940 0.1879
3 Ir 0.9055 0.9060 0.8121
4 Pt 0.3025 0.3025 0.6049
5 Pt 0.6975 0.6975 0.3951

=====

Please write out number 3 again, unchanged.
DFT (GGA-PBE) results for a geometry-optimized TcIr2Pt2 structure.

Results
- Space group: Immm, No. 71
- M_tot: 0.000 μB/atom
- Volume: 14.9 Å³ per atom
- E_form: -101 meV/atom
- Relative energy among the computed polymorphs: 0 meV/atom
- Crystal system: orthorhombic

abc: 2.7525 3.8940 7.3677
angles: 105.32 100.76 90.00
Element x y z (fractional)
1 Tc 0.5000 0.5000 0.0000
2 Ir 0.0945 0.0940 0.1879
3 Ir 0.9055 0.9060 0.8121
4 Pt 0.3025 0.3025 0.6049
5 Pt 0.6975 0.6975 0.3951

=====

- The highest relative energy among the computed polymorphs belongs to which entry?
  Tc2IrPt

=====

- Among the records above, which one has the highest E_form?
  TcIrPt3